Entry 1:
3
Lattice="0.000 3.001 3.001 3.001 0.000 3.001 3.001 3.001 0.000" Properties=species:S:1:pos:R:3 comment="NaCoTc | OQMD via LeMat-Bulk | PBE | optimized geometry" spacegroup="F-43m, No. 216" energy_ev_per_atom=-4.2449 magnetic_moment_mub_per_fu=4.4 pbc="T T T"
Co 1.500 1.500 1.500
Na 0.000 0.000 0.000
Tc 4.501 4.501 4.501



Entry 2:
6
Lattice="3.007 0.000 0.000 -1.503 2.604 0.000 0.000 0.000 6.888" Properties=species:S:1:pos:R:3 comment="LiZnB4 | OQMD via LeMat-Bulk | PBE | optimized geometry" spacegroup="P6/mmm, No. 191" energy_ev_per_atom=-4.8412 pbc="T T T"
B 1.503 0.868 1.736
B 0.000 1.736 1.736
B 1.503 0.868 5.152
B 0.000 1.736 5.152
Li 0.000 0.000 0.000
Zn 0.000 0.000 3.444



Entry 3:
6
Lattice="-3.977 2.845 0.534 -2.198 -3.558 2.588 1.610 1.585 3.546" Properties=species:S:1:pos:R:3 comment="NbFe2 | OQMD via LeMat-Bulk | PBE | optimized geometry" formation_energy_mev_per_atom=1388.6 spacegroup="P4_2/mnm, No. 136" magnetic_moment_mub_per_fu=3.2 pbc="T T T"
Fe -2.043 -0.236 1.033
Fe -4.132 -0.477 2.089
Fe -2.871 2.554 2.654
Fe -1.694 -1.683 4.014
Nb 0.000 0.000 0.000
Nb -2.282 0.436 3.334



Entry 4:
24
Lattice="14.941 0.000 0.000 0.000 4.214 0.000 0.000 0.000 11.404" Properties=species:S:1:pos:R:3 comment="NdTlZnSe3 | OQMD via LeMat-Bulk | PBE | optimized geometry" spacegroup="Pnma, No. 62" energy_ev_per_atom=-4.2494 magnetic_moment_mub_per_fu=0.0 pbc="T T T"
Nd 14.552 3.161 1.807
Nd 7.081 3.161 3.895
Nd 7.860 1.054 7.509
Nd 0.389 1.054 9.597
Se 1.488 1.054 0.899
Se 8.659 3.161 1.255
Se 5.355 1.054 2.742
Se 12.826 1.054 2.960
Se 1.189 3.161 4.447
Se 8.958 1.054 4.803
Se 5.983 3.161 6.601
Se 13.753 1.054 6.957
Se 2.116 3.161 8.444
Se 9.586 3.161 8.662
Se 6.282 1.054 10.149
Se 13.454 3.161 10.505
Tl 3.881 3.161 0.412
Tl 11.351 3.161 5.290
Tl 3.590 1.054 6.114
Tl 11.061 1.054 10.993
Zn 7.207 1.054 1.108
Zn 14.677 1.054 4.594
Zn 0.264 3.161 6.810
Zn 7.734 3.161 10.296



Entry 5:
16
Lattice="-4.935 3.446 5.405 -8.218 -3.124 -5.512 6.631 -2.429 7.603" Properties=species:S:1:pos:R:3 comment="TaTlAg2Se4 | OQMD via LeMat-Bulk | PBE | optimized geometry" spacegroup="Ama2, No. 40" energy_ev_per_atom=-4.7022 magnetic_moment_mub_per_fu=0.0 pbc="T T T"
Ag -10.194 -0.898 0.346
Ag -0.973 -3.404 1.282
Ag -3.441 -1.681 3.985
Ag 3.417 -2.100 7.486
Se -5.113 -1.398 -0.749
Se -1.997 -1.010 1.848
Se -4.002 0.735 4.959
Se -1.027 0.631 7.741
Se -5.526 -2.808 2.826
Se -7.971 -1.100 5.505
Se 0.489 -4.365 3.256
Se -1.956 -2.657 5.935
Ta -3.865 -2.429 1.047
Ta -2.905 -0.545 6.776
Tl -7.246 0.019 2.453
Tl 0.921 -1.438 4.784



Entry 6:
8
Lattice="4.653 0.000 0.000 0.000 5.457 0.000 0.000 0.000 4.438" Properties=species:S:1:pos:R:3 comment="ZnOs | OQMD via LeMat-Bulk | PBE | optimized geometry" formation_energy_mev_per_atom=271.1 spacegroup="Pnma, No. 62" magnetic_moment_mub_per_fu=0.0 pbc="T T T"
Os 4.504 2.720 0.000
Os 2.178 4.101 0.000
Os 4.026 1.373 2.219
Os 1.699 5.448 2.219
Zn 2.274 1.373 0.000
Zn 4.600 5.448 0.000
Zn 1.603 2.720 2.219
Zn 3.930 4.102 2.219